{"formula": "K2VPO6", "functional": "PBE+U", "state": "relaxed", "e_above_lowest_polymorph_mev_per_atom": 0, "dos_ef_per_ev_fu": 0.0, "space_group": "P2_1/c (14)", "total_magnetization_mub_per_cell": 0.000, "lattice": [[7.011, 0.000, 0.000], [0.000, 13.499, 0.000], [-4.113, 0.000, 7.367]], "species": ["K", "K", "K", "K", "K", "K", "K", "K", "V", "V", "V", "V", "P", "P", "P", "P", "O", "O", "O", "O", "O", "O", "O", "O", "O", "O", "O", "O", "O", "O", "O", "O", "O", "O", "O", "O", "O", "O", "O", "O"], "fractional_positions": [[0.111, 0.137, 0.450], [0.111, 0.363, 0.950], [0.279, 0.074, 0.073], [0.279, 0.426, 0.573], [0.721, 0.574, 0.427], [0.721, 0.926, 0.927], [0.889, 0.637, 0.050], [0.889, 0.863, 0.550], [0.393, 0.707, 0.609], [0.393, 0.793, 0.109], [0.607, 0.207, 0.891], [0.607, 0.293, 0.391], [0.221, 0.623, 0.803], [0.221, 0.877, 0.303], [0.779, 0.123, 0.697], [0.779, 0.377, 0.197], [0.090, 0.528, 0.764], [0.090, 0.972, 0.264], [0.120, 0.699, 0.642], [0.120, 0.801, 0.142], [0.250, 0.671, 0.982], [0.250, 0.829, 0.482], [0.351, 0.249, 0.282], [0.351, 0.251, 0.782], [0.367, 0.630, 0.446], [0.367, 0.870, 0.946], [0.449, 0.608, 0.811], [0.449, 0.892, 0.311], [0.551, 0.108, 0.689], [0.551, 0.392, 0.189], [0.633, 0.130, 0.054], [0.633, 0.370, 0.554], [0.649, 0.749, 0.218], [0.649, 0.751, 0.718], [0.750, 0.171, 0.518], [0.750, 0.329, 0.018], [0.880, 0.199, 0.858], [0.880, 0.301, 0.358], [0.910, 0.028, 0.736], [0.910, 0.472, 0.236]]}